VASP calculation (GGA-PBEsol) on a relaxed structure of Cd2HPtRh.

Cell lengths 3.0818, 5.0655, 5.0655 Å; angles 90.00, 90.00, 90.00 degrees
With the nearest neighbours (Å) after each atom.
Atoms (fractional coordinates):
Pt  0.5000  0.5000  0.5000  8 Cd 2.96, 2 Pt 3.08
Rh  0.0000  0.0000  0.0000  2 H 1.54
Cd  0.0000  0.5000  0.0000  2 Rh 2.53
Cd  0.0000  0.0000  0.5000  2 Rh 2.53
H  0.5000  0.0000  0.0000  2 Rh 1.54

Results
space-group type = P4/mmm (123)
total DFT energy (no corrections) = -3.8880 eV per atom
total magnetization = 0.00 μB/cell